(1)
# PBE+U RbHgMo2O8, optimized geometry
data_RbHgMo2O8
_cell_length_a 7.819
_cell_length_b 7.819
_cell_length_c 7.156
_cell_angle_alpha 90.00
_cell_angle_beta 90.00
_cell_angle_gamma 90.00
_space_group_name_H-M_alt 'I -4 m 2'
_space_group_IT_number 119
_space_group_name_Hall 'I -4 -2'
loop_
_atom_site_label
_atom_site_fract_x
_atom_site_fract_y
_atom_site_fract_z
Rb1 0.000 0.000 0.000
Hg1 0.000 0.500 0.750
Mo1 0.000 0.000 0.500
Mo2 0.000 0.500 0.250
O1 0.000 0.190 0.644
O2 0.000 0.323 0.092
# uncorrected energy = -137.8 eV for the cell shown
# ρ = 4599 kg/m³
# magnetization = 0.094 μB per atom

(2)
# PBE+U Rb3HgMo2O8, optimized geometry
data_Rb3HgMo2O8
_cell_length_a 6.4143
_cell_length_b 6.4143
_cell_length_c 8.2551
_cell_angle_alpha 90.00
_cell_angle_beta 90.00
_cell_angle_gamma 120.00
_space_group_name_H-M_alt 'P -3 m 1'
_space_group_IT_number 164
_space_group_name_Hall '-P 3 2"'
loop_
_atom_site_label
_atom_site_fract_x
_atom_site_fract_y
_atom_site_fract_z
Rb1 0.0000 0.0000 0.0000
Rb2 0.3333 0.6667 0.6626
Hg1 0.0000 0.0000 0.5000
Mo1 0.3333 0.6667 0.2078
O1 0.1810 0.3619 0.2849
O2 0.3333 0.6667 0.9921
# uncorrected energy = -79.3 eV for the cell shown
# ρ = 4386 kg/m³
# magnetization = 0.073 μB per atom